PBE-GGA LaTa2Se, optimized geometry; symmetry = No. 216; magnetization = 0.00 Bohr magnetons per cell; uncorrected formation energy = 0.30 eV/atom; VASP energy = -30.9 eV/cell
1.0
0.0000 3.4999 3.4999
3.4999 0.0000 3.4999
3.4999 3.4999 0.0000
La Ta Se
1 2 1
Direct
0.0000 0.0000 0.0000 La
0.5000 0.5000 0.5000 Ta
0.7500 0.7500 0.7500 Ta
0.2500 0.2500 0.2500 Se

---

PBE-GGA MnAlCd, optimized geometry; symmetry = No. 107; formation energy from the elements = 0.2 eV per formula unit; magnetization = 3.18 Bohr magnetons per cell; VASP energy = -13.6 eV/cell
1.0
-1.4503 1.4503 5.9774
1.4503 -1.4503 5.9774
1.4503 1.4503 -5.9774
Mn Al Cd
1 1 1
Direct
0.0000 0.0000 0.0000 Mn
0.3646 0.3646 0.0000 Al
0.6743 0.6743 0.0000 Cd

---

PBE-GGA Sm2Tm2Te7, optimized geometry; symmetry = No. 44; magnetization = 0.00 Bohr magnetons per cell; uncorrected formation energy = -1.20 eV/atom; VASP energy = -53.6 eV/cell
1.0
-2.1309 7.9525 4.9262
2.1309 -7.9525 4.9262
2.1309 7.9525 -4.9262
Sm Tm Te
2 2 7
Direct
0.2417 0.0000 0.2417 Sm
0.7583 0.0000 0.7583 Sm
0.3271 0.8271 0.5000 Tm
0.7729 0.7729 0.0000 Tm
0.0274 0.7017 0.3257 Te
0.0939 0.0939 0.0000 Te
0.3760 0.7017 0.6743 Te
0.3901 0.4973 0.8928 Te
0.6045 0.4973 0.1072 Te
0.6702 0.3102 0.3600 Te
0.9502 0.3102 0.6400 Te

---

no.,DOS at the Fermi energy (states/eV per atom)
1,1.35
2,0.53
3,0.46